Record 1
Tb3Nd2Mg: relaxed, PBE-GGA.

* offset from the most stable computed form: 0.0 meV/atom
* calculated density: 6.891 g/cm³
* uncorrected energy: -49.9 eV/cell

abc: 4.980 15.154 5.043
angles: 90.00 90.00 90.00
Positions (direct):
Tb  0.000  0.000  0.000
Tb  0.000  0.332  0.000
Tb  0.000  0.668  0.000
Tb  0.500  0.168  0.000
Tb  0.500  0.500  0.000
Tb  0.500  0.832  0.000
Nd  0.000  0.165  0.500
Nd  0.000  0.835  0.500
Nd  0.500  0.335  0.500
Nd  0.500  0.665  0.500
Mg  0.000  0.500  0.500
Mg  0.500  0.000  0.500

Record 2
TbNdMg4: relaxed, PBE-GGA.

* offset from the most stable computed form: 40.0 meV/atom
* calculated density: 4.162 g/cm³
* uncorrected energy: -32.1 eV/cell

abc: 13.926 3.471 6.816
angles: 90.00 104.15 90.00
Positions (direct):
Tb  0.000  0.000  0.000
Tb  0.500  0.500  0.000
Nd  0.000  0.000  0.500
Nd  0.500  0.500  0.500
Mg  0.175  0.500  0.842
Mg  0.178  0.500  0.335
Mg  0.322  0.000  0.665
Mg  0.325  0.000  0.158
Mg  0.675  0.000  0.842
Mg  0.678  0.000  0.335
Mg  0.822  0.500  0.665
Mg  0.825  0.500  0.158

Record 3
TbNd7Mg2: relaxed, PBE-GGA.

* calculated density: 5.056 g/cm³
* uncorrected energy: -36.0 eV/cell

abc: 9.471 9.471 5.374
angles: 90.00 90.00 123.98
Positions (direct):
Tb  0.000  0.000  0.000
Nd  0.070  0.299  0.500
Nd  0.213  0.787  0.000
Nd  0.299  0.070  0.500
Nd  0.500  0.500  0.500
Nd  0.701  0.930  0.500
Nd  0.787  0.213  0.000
Nd  0.930  0.701  0.500
Mg  0.298  0.702  0.500
Mg  0.702  0.298  0.500

Record 4
TbNd2Mg9: relaxed, PBE-GGA.

* calculated density: 3.513 g/cm³
* uncorrected energy: -29.1 eV/cell

abc: 10.455 10.455 10.455
angles: 33.78 33.78 33.78
Positions (direct):
Tb  0.000  0.000  0.000
Nd  0.142  0.142  0.142
Nd  0.858  0.858  0.858
Mg  0.080  0.584  0.584
Mg  0.334  0.334  0.334
Mg  0.416  0.416  0.920
Mg  0.416  0.920  0.416
Mg  0.500  0.500  0.500
Mg  0.584  0.080  0.584
Mg  0.584  0.584  0.080
Mg  0.666  0.666  0.666
Mg  0.920  0.416  0.416

Record 5
TbNd3Mg8: relaxed, PBE-GGA.

* calculated density: 4.041 g/cm³
* uncorrected energy: -32.9 eV/cell

abc: 10.562 10.562 10.562
angles: 33.69 33.69 33.69
Positions (direct):
Tb  0.000  0.000  0.000
Nd  0.124  0.124  0.124
Nd  0.500  0.500  0.500
Nd  0.625  0.625  0.625
Mg  0.061  0.562  0.562
Mg  0.063  0.063  0.564
Mg  0.063  0.564  0.063
Mg  0.312  0.312  0.312
Mg  0.562  0.061  0.562
Mg  0.562  0.562  0.061
Mg  0.564  0.063  0.063
Mg  0.812  0.812  0.812

Record 6
Tb2Nd8Mg: relaxed, PBE-GGA.

* offset from the most stable computed form: 87.9 meV/atom
* calculated density: 6.548 g/cm³
* uncorrected energy: -47.9 eV/cell

abc: 9.873 9.873 9.873
angles: 146.64 133.70 58.25
Positions (direct):
Tb  0.195  0.195  0.000
Tb  0.805  0.805  0.000
Nd  0.084  0.365  0.718
Nd  0.233  0.000  0.233
Nd  0.325  0.825  0.500
Nd  0.353  0.635  0.718
Nd  0.647  0.365  0.282
Nd  0.675  0.175  0.500
Nd  0.767  0.000  0.767
Nd  0.916  0.635  0.282
Mg  0.500  0.500  0.000